Entry 1:
First-principles (GGA-PBE) data for a geometry-optimized ScBeB3 structure, as listed in Alexandria.

Output
The value obtained for the theoretical density is 1.82 g/cm³. The energy relative to the elements comes out at 2368 meV per atom. Its space group is Pm-3m, No. 221. The energy above the most stable polymorph in this dataset comes out at 2798 meV per atom. For the total magnetic moment, the calculation gives 0.0 μB per cell.

Geometry as POSCAR:
```
ScBeB3
1.0
4.290 0.000 0.000
0.000 4.290 0.000
0.000 0.000 4.290
Sc Be B
1 1 3
direct
0.000 0.000 0.000
0.500 0.500 0.500
0.000 0.000 0.500
0.000 0.500 0.000
0.500 0.000 0.000
```

Entry 2:
First-principles (GGA-PBE) data for a geometry-optimized Sc2BeB structure, as listed in Alexandria.

Output
The value obtained for the theoretical density is 2.33 g/cm³. The energy relative to the elements comes out at 571 meV per atom. Its space group is R-3m, No. 166. The energy above the most stable polymorph in this dataset comes out at 595 meV per atom. For the total magnetic moment, the calculation gives 0.0 μB per cell.

Geometry as POSCAR:
```
Sc2BeB
1.0
1.637 0.945 8.415
-1.637 0.945 8.415
0.000 -1.890 8.415
Sc Be B
2 1 1
direct
0.111 0.111 0.111
0.889 0.889 0.889
0.000 0.000 0.000
0.500 0.500 0.500
```

Entry 3:
First-principles (GGA-PBE) data for a geometry-optimized ScBe3B3 structure, as listed in Alexandria.

Output
The value obtained for the theoretical density is 2.39 g/cm³. The energy relative to the elements comes out at 542 meV per atom. Its space group is Pm-3n, No. 223. The energy above the most stable polymorph in this dataset comes out at 682 meV per atom. For the total magnetic moment, the calculation gives 0.0 μB per cell.

Geometry as POSCAR:
```
ScBe3B3
1.0
5.258 0.000 0.000
0.000 5.258 0.000
0.000 0.000 5.258
Sc Be B
2 6 6
direct
0.000 0.000 0.000
0.500 0.500 0.500
0.000 0.250 0.500
0.000 0.750 0.500
0.250 0.500 0.000
0.500 0.000 0.250
0.500 0.000 0.750
0.750 0.500 0.000
0.000 0.500 0.250
0.000 0.500 0.750
0.250 0.000 0.500
0.500 0.250 0.000
0.500 0.750 0.000
0.750 0.000 0.500
```

Entry 4:
First-principles (GGA-PBE) data for a geometry-optimized Sc2BeB structure, as listed in Alexandria.

Output
The value obtained for the theoretical density is 2.44 g/cm³. The energy relative to the elements comes out at 1006 meV per atom. Its space group is R-3m, No. 166. The energy above the most stable polymorph in this dataset comes out at 1031 meV per atom. For the total magnetic moment, the calculation gives 0.0 μB per cell.

Geometry as POSCAR:
```
Sc2BeB
1.0
1.570 0.906 8.758
-1.570 0.906 8.758
0.000 -1.813 8.758
Sc Be B
2 1 1
direct
0.092 0.092 0.092
0.908 0.908 0.908
0.500 0.500 0.500
0.000 0.000 0.000
```

Entry 5:
First-principles (GGA-PBE) data for a geometry-optimized Sc2BeB10 structure, as listed in Alexandria.

Output
The value obtained for the theoretical density is 2.85 g/cm³. The energy relative to the elements comes out at -299 meV per atom. Its space group is Pbam, No. 55. For the total magnetic moment, the calculation gives 0.0 μB per cell.

Geometry as POSCAR:
```
Sc2BeB10
1.0
5.581 0.000 0.000
0.000 10.560 0.000
0.000 0.000 4.099
Sc Be B
4 2 20
direct
0.243 0.125 0.000
0.257 0.625 0.000
0.743 0.375 0.000
0.757 0.875 0.000
0.000 0.500 0.500
0.500 0.000 0.500
0.017 0.317 0.500
0.130 0.962 0.500
0.177 0.799 0.500
0.193 0.388 0.199
0.193 0.388 0.801
0.307 0.888 0.199
0.307 0.888 0.801
0.323 0.299 0.500
0.370 0.462 0.500
0.483 0.817 0.500
0.517 0.183 0.500
0.630 0.538 0.500
0.677 0.701 0.500
0.693 0.112 0.199
0.693 0.112 0.801
0.807 0.612 0.199
0.807 0.612 0.801
0.823 0.201 0.500
0.870 0.038 0.500
0.983 0.683 0.500
```

Entry 6:
First-principles (GGA-PBE) data for a geometry-optimized ScBeB structure, as listed in Alexandria.

Output
The value obtained for the theoretical density is 2.95 g/cm³. The energy relative to the elements comes out at -158 meV per atom. Its space group is P4/nmm, No. 129. The energy above the most stable polymorph in this dataset comes out at 184 meV per atom. For the total magnetic moment, the calculation gives 0.0 μB per cell.

Geometry as POSCAR:
```
ScBeB
1.0
3.431 0.000 0.000
0.000 3.431 0.000
0.000 0.000 6.192
Sc Be B
2 2 2
direct
0.250 0.250 0.200
0.750 0.750 0.800
0.250 0.250 0.661
0.750 0.750 0.339
0.250 0.750 0.500
0.750 0.250 0.500
```

Entry 7:
First-principles (GGA-PBE) data for a geometry-optimized ScBeB structure, as listed in Alexandria.

Output
The value obtained for the theoretical density is 3.03 g/cm³. The energy relative to the elements comes out at -342 meV per atom. Its space group is I-4m2, No. 119. The energy above the most stable polymorph in this dataset comes out at 0 meV per atom. For the total magnetic moment, the calculation gives 0.0 μB per cell.

Geometry as POSCAR:
```
ScBeB
1.0
-1.716 1.716 6.033
1.716 -1.716 6.033
1.716 1.716 -6.033
Sc Be B
2 2 2
direct
0.000 0.000 0.000
0.750 0.250 0.500
0.158 0.658 0.500
0.342 0.842 0.500
0.428 0.428 0.000
0.572 0.572 0.000
```

Entry 8:
First-principles (GGA-PBE) data for a geometry-optimized ScBe2B structure, as listed in Alexandria.

Output
The value obtained for the theoretical density is 2.57 g/cm³. The energy relative to the elements comes out at -8 meV per atom. Its space group is I4_1/amd, No. 141. For the total magnetic moment, the calculation gives 0.0 μB per cell.

Geometry as POSCAR:
```
ScBe2B
1.0
-1.913 1.913 6.523
1.913 -1.913 6.523
1.913 1.913 -6.523
Sc Be B
2 4 2
direct
0.375 0.625 0.750
0.625 0.375 0.250
0.000 0.000 0.000
0.000 0.000 0.500
0.000 0.500 0.000
0.500 0.000 0.500
0.125 0.875 0.250
0.875 0.125 0.750
```

no.,volume (Å³ per atom)
1,15.79
2,19.52
3,10.39
4,18.69
5,9.29
6,12.15
7,11.84
8,11.94